Run i
Compound: RbPaN2
Source: Alexandria
Functional: PBE
Structure: optimized geometry

Calculated values
Mass density ... 7.42 g/cm³
N(E_F) ... 0.000 states/eV per atom
SG ... No. 160

POSCAR file:
```
RbPaN2
1.0
-1.435 3.022 -1.372
-2.746 -0.205 -2.343
-5.823 1.182 3.931
Rb Pa N
1 1 2
Direct
0.497 0.497 0.509 Rb
0.667 0.667 0.999 Pa
0.052 0.052 0.845 N
0.284 0.284 0.147 N
```

---

Run ii
Compound: RbPaN2
Source: Alexandria
Functional: PBE
Structure: optimized geometry

Calculated values
Mass density ... 8.66 g/cm³
N(E_F) ... 0.695 states/eV per atom
SG ... No. 123

POSCAR file:
```
RbPaN2
1.0
-1.223 1.210 -2.551
-0.427 -2.828 -1.136
-6.325 -0.220 2.927
Pa Rb N
1 1 2
Direct
0.500 0.500 0.000 Pa
0.500 0.500 0.500 Rb
0.000 0.000 0.825 N
0.000 0.000 0.175 N
```

---

Ranking the structures above from most stable to least stable yields run i, run ii.